# 1
Computed, not measured: crystalline LaCo2Pb at its relaxed geometry at the GGA-PBE level of DFT.

CIF file:
```
data_LaCo2Pb
_cell_length_a 3.818
_cell_length_b 3.828
_cell_length_c 5.389
_cell_angle_alpha 90.00
_cell_angle_beta 90.00
_cell_angle_gamma 90.00
_space_group_name_H-M_alt 'P 1'
_space_group_IT_number 1
_space_group_name_Hall 'P 1'
loop_
_atom_site_label
_atom_site_fract_x
_atom_site_fract_y
_atom_site_fract_z
Pb1 0.500 0.500 0.815
La1 0.000 0.000 0.420
Co1 0.000 0.000 0.968
Co2 0.500 0.500 0.298
```

## Properties
Its density of states at the Fermi level is 4.67 states/eV/f.u. Its space group is Pmm2 (25). The value obtained for the raw total energy is -5.421 eV per atom.

=====

# 2
Computed, not measured: crystalline Sc2InNiH at its relaxed geometry at the GGA-PBE level of DFT.

CIF file:
```
data_Sc2InNiH
_cell_length_a 4.700
_cell_length_b 4.700
_cell_length_c 3.564
_cell_angle_alpha 90.00
_cell_angle_beta 90.00
_cell_angle_gamma 90.00
_space_group_name_H-M_alt 'P 1'
_space_group_IT_number 1
_space_group_name_Hall 'P 1'
loop_
_atom_site_label
_atom_site_fract_x
_atom_site_fract_y
_atom_site_fract_z
Sc1 0.000 0.500 0.000
Sc2 0.500 0.000 0.000
In1 0.500 0.500 0.500
Ni1 0.000 0.000 0.500
H1 0.000 0.000 0.000
```

## Properties
Its density of states at the Fermi level is 3.54 states/eV/f.u. Its space group is P4/mmm (123). The value obtained for the raw total energy is -5.323 eV per atom.

=====

# 3
Computed, not measured: crystalline PrCo9Ge4 at its relaxed geometry at the GGA-PBE level of DFT.

CIF file:
```
data_PrCo9Ge4
_cell_length_a 7.900
_cell_length_b 7.900
_cell_length_c 8.137
_cell_angle_alpha 119.04
_cell_angle_beta 119.04
_cell_angle_gamma 90.00
_space_group_name_H-M_alt 'P 1'
_space_group_IT_number 1
_space_group_name_Hall 'P 1'
loop_
_atom_site_label
_atom_site_fract_x
_atom_site_fract_y
_atom_site_fract_z
Co1 0.699 0.566 0.000
Co2 0.446 0.946 0.646
Co3 0.801 0.066 0.000
Co4 0.199 0.934 0.000
Co5 0.554 0.054 0.354
Co6 0.301 0.434 0.000
Co7 0.000 0.500 0.000
Co8 0.434 0.699 0.000
Co9 0.500 0.000 0.000
Co10 0.700 0.446 0.646
Co11 0.066 0.199 0.000
Co12 0.934 0.801 0.000
Co13 0.200 0.700 0.646
Co14 0.946 0.200 0.646
Co15 0.054 0.800 0.354
Co16 0.800 0.300 0.354
Co17 0.300 0.554 0.354
Co18 0.566 0.301 0.000
Ge1 0.298 0.798 0.251
Ge2 0.798 0.953 0.251
Ge3 0.047 0.547 0.749
Ge4 0.202 0.047 0.749
Ge5 0.547 0.702 0.749
Ge6 0.453 0.298 0.251
Ge7 0.702 0.202 0.749
Ge8 0.953 0.453 0.251
Pr1 0.250 0.250 0.500
Pr2 0.750 0.750 0.500
```

## Properties
Its density of states at the Fermi level is 15.14 states/eV/f.u. Its space group is I4/mcm (140). The value obtained for the raw total energy is -6.493 eV per atom.

=====

Q: The lowest raw total energy belongs to which entry?
A: PrCo9Ge4

=====

Q: Which formula does entry 2 have?
A: Sc2InNiH

=====

Q: Which value of raw total energy does entry 2 give?
A: -5.323 eV per atom